VASP calculation (GGA-PBE) on a relaxed structure of HoInCl3.

The space group is Cmcm (No. 63) and the conventional cell measures 3.5579, 14.9427 and 10.5439 Å, with angles of 90.00, 90.00 and 90.00 degrees. The asymmetric unit holds Ho at (0.0000, 0.0000, 0.0000), In at (0.0000, 0.2673, 0.2500), Cl at (0.0000, 0.0259, 0.7500) and Cl at (0.0000, 0.3672, 0.5257).

For the total energy, the calculation gives -82.1 eV for the cell shown.


VASP calculation (GGA-PBE) on a relaxed structure of In2MoBr6.

The space group is P4/mnc (No. 128) and the conventional cell measures 7.2385, 7.2385 and 10.8724 Å, with angles of 90.00, 90.00 and 90.00 degrees. The asymmetric unit holds In at (0.0000, 0.5000, 0.2500), Mo at (0.0000, 0.0000, 0.0000), Br at (0.0000, 0.0000, 0.2359) and Br at (0.1853, 0.2994, 0.0000).

For the total energy, the calculation gives -63.3 eV for the cell shown.


VASP calculation (GGA-PBE) on a relaxed structure of ZnCoCuW.

The space group is F-43m (No. 216) and the conventional cell measures 5.8978, 5.8978 and 5.8978 Å, with angles of 90.00, 90.00 and 90.00 degrees. The asymmetric unit holds Zn at (0.0000, 0.0000, 0.0000), Co at (0.0000, 0.0000, 0.5000), Cu at (0.2500, 0.2500, 0.2500) and W at (0.2500, 0.2500, 0.7500).

The value obtained for the formation energy is 236 meV per atom. The energy above the most stable polymorph in this dataset comes out at 22 kJ/mol of formula units.


VASP calculation (GGA-PBE) on a relaxed structure of ZrCdPO.

The space group is Pmc2_1 (No. 26) and the conventional cell measures 4.1001, 6.7770 and 5.4287 Å, with angles of 90.00, 90.00 and 90.00 degrees. The asymmetric unit holds Zr at (0.0000, 0.1700, 0.0000), Cd at (0.5000, 0.4080, 0.5893), P at (0.0000, 0.2112, 0.4919) and O at (0.5000, 0.2331, 0.0063).

For the total energy, the calculation gives -48.8 eV for the cell shown.


VASP calculation (GGA-PBE) on a relaxed structure of NaNbAuSe2S.

The space group is Cmcm (No. 63) and the conventional cell measures 3.6473, 14.0598 and 9.9227 Å, with angles of 90.00, 90.00 and 90.00 degrees. The asymmetric unit holds Na at (0.0000, 0.2483, 0.2500), Nb at (0.0000, 0.0000, 0.0000), Au at (0.0000, 0.4454, 0.7500), Se at (0.0000, 0.3623, 0.5265) and S at (0.0000, 0.0758, 0.7500).

For the total energy, the calculation gives -116.4 eV for the cell shown.


VASP calculation (GGA-PBE) on a relaxed structure of Tm2BeIr2.

The space group is C2/c (No. 15) and the conventional cell measures 10.0056, 5.3677 and 7.0866 Å, with angles of 90.00, 102.91 and 90.00 degrees. The asymmetric unit holds Tm at (0.1461, 0.1360, 0.1463), Be at (0.0000, 0.4041, 0.7500) and Ir at (0.1287, 0.3652, 0.5115).

For the total energy, the calculation gives -137.8 eV for the cell shown.


VASP calculation (GGA-PBE) on a relaxed structure of LiAl4CuS2.

The space group is I-4 (No. 82) and the conventional cell measures 5.9917, 5.9917 and 9.8526 Å, with angles of 90.00, 90.00 and 90.00 degrees. The asymmetric unit holds Li at (0.0000, 0.0000, 0.0000), Al at (0.2244, 0.7635, 0.6411), Cu at (0.0000, 0.5000, 0.7500), S at (0.0000, 0.0000, 0.5000) and S at (0.0000, 0.5000, 0.2500).

For the total energy, the calculation gives -57.3 eV for the cell shown.


VASP calculation (GGA-PBE) on a relaxed structure of GaPd9.

The space group is Pmmn (No. 59, origin choice 2) and the conventional cell measures 2.8160, 3.8959 and 41.4392 Å, with angles of 90.00, 90.00 and 90.00 degrees. The asymmetric unit holds Ga at (0.2500, 0.2500, 0.1850), Pd at (0.2500, 0.2500, 0.2459), Pd at (0.2500, 0.2500, 0.3141), Pd at (0.2500, 0.2500, 0.3819), Pd at (0.2500, 0.2500, 0.4494), Pd at (0.2500, 0.2500, 0.5168), Pd at (0.2500, 0.2500, 0.5844), Pd at (0.2500, 0.2500, 0.6522), Pd at (0.2500, 0.2500, 0.7206) and Pd at (0.2500, 0.2500, 0.7940).

The energy above the most stable polymorph in this dataset comes out at 0 kJ/mol of formula units.


VASP calculation (GGA-PBE) on a relaxed structure of PrNiSn2Pt.

The space group is P4/nmm (No. 129, origin choice 2) and the conventional cell measures 4.5359, 4.5359 and 10.3636 Å, with angles of 90.00, 90.00 and 90.00 degrees. The asymmetric unit holds Pr at (0.2500, 0.2500, 0.2472), Ni at (0.2500, 0.2500, 0.6175), Sn at (0.2500, 0.2500, 0.8573), Sn at (0.2500, 0.7500, 0.5000) and Pt at (0.2500, 0.7500, 0.0000).

For the total energy, the calculation gives -55.8 eV for the cell shown.


VASP calculation (GGA-PBE) on a relaxed structure of CuTePbF.

The space group is R-3m (No. 166, hexagonal axes) and the conventional cell measures 4.0902, 4.0902 and 34.7299 Å, with angles of 90.00, 90.00 and 120.00 degrees. The asymmetric unit holds Cu at (0.0000, 0.0000, 0.1293), Te at (0.0000, 0.0000, 0.4239), Pb at (0.0000, 0.0000, 0.2989) and F at (0.0000, 0.0000, 0.1866).

The energy above the most stable polymorph in this dataset comes out at 162 kJ/mol of formula units.


VASP calculation (GGA-PBE) on a relaxed structure of Tb2GdGa3Ge2Pd.

The space group is Amm2 (No. 38) and the conventional cell measures 4.2559, 12.2274 and 7.0501 Å, with angles of 90.00, 90.00 and 90.00 degrees. The asymmetric unit holds Tb at (0.0000, 0.2049, 0.0000), Gd at (0.0000, 0.0000, 0.6149), Ga at (0.5000, 0.0000, 0.9679), Ga at (0.5000, 0.1186, 0.3229), Ge at (0.5000, 0.1673, 0.7049) and Pd at (0.0000, 0.0000, 0.2035).

For the total energy, the calculation gives -89.0 eV for the cell shown.


Q: What is the formula in the sixth record?
A: Tm2BeIr2